Density functional theory data (meta-GGA SCAN) for a crystal of Sr2SiNi relaxed with PBEsol.

Results
The density of states at the Fermi level comes out at 3.55 states/eV/cell. The value obtained for the total energy is -18.0349 eV per atom. For the total magnetic moment, the calculation gives 0.0 μB/f.u. As for the uncorrected formation energy: -0.350 eV per atom. The space-group type is R3m (160).

Cell lengths 4.0911, 4.0911, 8.4410 Å; angles 75.98, 75.98, 60.00 degrees
Closest atoms and distances in Å follow each position.
Positions (direct):
Sr 0.9592 0.9592 0.1223  3 Ni 3.13, 3 Si 3.13
Sr 0.7908 0.7908 0.6276  3 Si 3.13, 3 Ni 3.13
Si 0.2083 0.2083 0.3751  3 Ni 2.36
Ni 0.5417 0.5417 0.3750  3 Si 2.36

---

Density functional theory data (meta-GGA SCAN) for a crystal of Sr2SiNi relaxed with PBEsol.

Results
The density of states at the Fermi level comes out at 2.50 states/eV/cell. The value obtained for the total energy is -17.9864 eV per atom. For the total magnetic moment, the calculation gives 0.0 μB/f.u. As for the uncorrected formation energy: -0.301 eV per atom. The space-group type is Amm2 (38).

Cell lengths 4.2445, 4.7752, 5.6927 Å; angles 114.80, 90.00, 90.00 degrees
Closest atoms and distances in Å follow each position.
Positions (direct):
Sr 0.0000 0.9788 0.9575  3 Ni 3.04-3.28, 4 Si 3.39
Sr 0.5000 0.2734 0.5467  3 Si 3.06-3.25, 4 Ni 3.40
Si 0.5000 0.5878 0.1755  2 Ni 2.26
Ni 0.0000 0.6615 0.3230  2 Si 2.26

---

Density functional theory data (meta-GGA SCAN) for a crystal of Ta6Si7Ni16 relaxed with PBEsol.

Results
The density of states at the Fermi level comes out at 16.74 states/eV/cell. The value obtained for the total energy is -25.7555 eV per atom. For the total magnetic moment, the calculation gives 0.0 μB/f.u. As for the uncorrected formation energy: -0.639 eV per atom. The space-group type is Fm-3m (225).

Cell lengths 7.8609, 7.8609, 7.8609 Å; angles 60.00, 60.00, 60.00 degrees
Closest atoms and distances in Å follow each position.
Positions (direct):
Ni 0.3503 0.8832 0.8832  4 Si 2.25-2.46
Ni 0.8832 0.3503 0.8832  4 Si 2.25-2.46
Ni 0.8832 0.8832 0.8832  4 Si 2.25-2.46
Ni 0.8832 0.8832 0.3503  4 Si 2.25-2.46
Ni 0.1168 0.6497 0.1168  4 Si 2.25-2.46
Ni 0.6497 0.1168 0.1168  4 Si 2.25-2.46
Ni 0.1168 0.1168 0.1168  4 Si 2.25-2.46
Ni 0.1168 0.1168 0.6497  4 Si 2.25-2.46
Ni 0.9977 0.6674 0.6674  3 Si 2.27, 3 Ni 2.53
Ni 0.6674 0.9977 0.6674  3 Si 2.27, 3 Ni 2.53
Ni 0.6674 0.6674 0.6674  3 Si 2.27, 3 Ni 2.53
Ni 0.6674 0.6674 0.9977  3 Si 2.27, 3 Ni 2.53
Ni 0.3326 0.0023 0.3326  3 Si 2.27, 3 Ni 2.53
Ni 0.0023 0.3326 0.3326  3 Si 2.27, 3 Ni 2.53
Ni 0.3326 0.3326 0.3326  3 Si 2.27, 3 Ni 2.53
Ni 0.3326 0.3326 0.0023  3 Si 2.27, 3 Ni 2.53
Si 0.0000 0.0000 0.0000  8 Ni 2.25
Si 0.5000 0.0000 0.5000  8 Ni 2.27-2.46
Si 0.0000 0.5000 0.0000  8 Ni 2.27-2.46
Si 0.5000 0.0000 0.0000  8 Ni 2.27-2.46
Si 0.0000 0.5000 0.5000  8 Ni 2.27-2.46
Si 0.5000 0.5000 0.0000  8 Ni 2.27-2.46
Si 0.0000 0.0000 0.5000  8 Ni 2.27-2.46
Ta 0.2968 0.7032 0.2968  8 Ni 2.66-2.72, 4 Si 2.83
Ta 0.7032 0.2968 0.7032  8 Ni 2.66-2.72, 4 Si 2.83
Ta 0.2968 0.7032 0.7032  8 Ni 2.66-2.72, 4 Si 2.83
Ta 0.7032 0.2968 0.2968  8 Ni 2.66-2.72, 4 Si 2.83
Ta 0.2968 0.2968 0.7032  8 Ni 2.66-2.72, 4 Si 2.83
Ta 0.7032 0.7032 0.2968  8 Ni 2.66-2.72, 4 Si 2.83

---

Please write out number 2 again, unchanged.
Density functional theory data (meta-GGA SCAN) for a crystal of Sr2SiNi relaxed with PBEsol.

Results
The density of states at the Fermi level comes out at 2.50 states/eV/cell. The value obtained for the total energy is -17.9864 eV per atom. For the total magnetic moment, the calculation gives 0.0 μB/f.u. As for the uncorrected formation energy: -0.301 eV per atom. The space-group type is Amm2 (38).

Cell lengths 4.2445, 4.7752, 5.6927 Å; angles 114.80, 90.00, 90.00 degrees
Closest atoms and distances in Å follow each position.
Positions (direct):
Sr 0.0000 0.9788 0.9575  3 Ni 3.04-3.28, 4 Si 3.39
Sr 0.5000 0.2734 0.5467  3 Si 3.06-3.25, 4 Ni 3.40
Si 0.5000 0.5878 0.1755  2 Ni 2.26
Ni 0.0000 0.6615 0.3230  2 Si 2.26

---

Repeat the second record exactly.
Density functional theory data (meta-GGA SCAN) for a crystal of Sr2SiNi relaxed with PBEsol.

Results
The density of states at the Fermi level comes out at 2.50 states/eV/cell. The value obtained for the total energy is -17.9864 eV per atom. For the total magnetic moment, the calculation gives 0.0 μB/f.u. As for the uncorrected formation energy: -0.301 eV per atom. The space-group type is Amm2 (38).

Cell lengths 4.2445, 4.7752, 5.6927 Å; angles 114.80, 90.00, 90.00 degrees
Closest atoms and distances in Å follow each position.
Positions (direct):
Sr 0.0000 0.9788 0.9575  3 Ni 3.04-3.28, 4 Si 3.39
Sr 0.5000 0.2734 0.5467  3 Si 3.06-3.25, 4 Ni 3.40
Si 0.5000 0.5878 0.1755  2 Ni 2.26
Ni 0.0000 0.6615 0.3230  2 Si 2.26

---

What did the first record say?
Density functional theory data (meta-GGA SCAN) for a crystal of Sr2SiNi relaxed with PBEsol.

Results
The density of states at the Fermi level comes out at 3.55 states/eV/cell. The value obtained for the total energy is -18.0349 eV per atom. For the total magnetic moment, the calculation gives 0.0 μB/f.u. As for the uncorrected formation energy: -0.350 eV per atom. The space-group type is R3m (160).

Cell lengths 4.0911, 4.0911, 8.4410 Å; angles 75.98, 75.98, 60.00 degrees
Closest atoms and distances in Å follow each position.
Positions (direct):
Sr 0.9592 0.9592 0.1223  3 Ni 3.13, 3 Si 3.13
Sr 0.7908 0.7908 0.6276  3 Si 3.13, 3 Ni 3.13
Si 0.2083 0.2083 0.3751  3 Ni 2.36
Ni 0.5417 0.5417 0.3750  3 Si 2.36